Density functional theory data (PBE) for crystalline NpNiTe at its relaxed geometry.

Cell lengths 4.2617, 4.2617, 4.1129 Å; angles 90.00, 90.00, 120.00 degrees
Closest atoms and distances in Å follow each position.
Space group P3m1 (No. 156)
Asymmetric unit:
Np (0.0000, 0.0000, 0.0000) (multiplicity 1)  3 Ni 2.97, 6 Te 3.17-3.24
Ni (0.3333, 0.6667, 0.4053) (multiplicity 1)  3 Te 2.50
Te (0.6667, 0.3333, 0.5139) (multiplicity 1)  3 Ni 2.50

Results
**Energy relative to the elements, uncorrected**: -276 meV per atom
**Offset from the most stable computed form**: 0.00 eV/f.u.